## BeV2HO (GGA+U)

Data for a relaxed structure of BeV2HO.

Its total moment is 5.56 μB per cell. As for the volume: 57 Å³ per cell. The value obtained for the calculated total energy is -4.56 eV per atom.

It has space group P4/mmm (No. 123), with a = 4.3744 Å, b = 4.3744 Å, c = 2.9770 Å, α = 90.00°, β = 90.00° and γ = 90.00°. The distinct sites, in fractional coordinates, are Be at (0.0000, 0.0000, 0.0000), V at (0.0000, 0.5000, 0.0000), H at (0.0000, 0.0000, 0.5000) and O at (0.5000, 0.5000, 0.5000).